Here is a PBEsol-optimized structure of Te2Ir from Alexandria. Energies are from SCAN.

Its electronic total energy is -146.72 eV per formula unit. As for the mass density: 10.419 g/cm³.

The space group is P-3m1 (No. 164) and the conventional cell measures 3.9376, 3.9376 and 5.3106 Å, with angles of 90.00, 90.00 and 120.00 degrees. The inequivalent atoms are Te at (0.3333, 0.6667, 0.2555) and Ir at (0.0000, 0.0000, 0.0000).